Material: PdPbO
Method: DFT, PBE
State: optimized geometry

- Raw formation energy: -465 meV per atom
- Total DFT energy (no corrections): -0.37373 Ry per atom

Lattice parameters (Å, degrees): 3.541 7.568 8.742 90.00 90.00 90.00
Space group P2_12_12_1 (No. 19)
Inequivalent atoms, fractional coordinates:
1 Pd 0.248 0.203 0.127 [4 per cell]
2 Pb 0.248 0.543 0.006 [4 per cell]
3 O 0.249 0.811 0.878 [4 per cell]



Material: Pa4Ga12Sb
Method: DFT, PBE
State: optimized geometry

- Raw formation energy: -274 meV per atom
- Total DFT energy (no corrections): -0.35925 Ry per atom

Lattice parameters (Å, degrees): 8.795 8.795 8.795 90.00 90.00 90.00
Space group Im-3m (No. 229)
Inequivalent atoms, fractional coordinates:
1 Pa 0.250 0.250 0.250 [8 per cell]
2 Ga 0.000 0.000 0.315 [12 per cell]
3 Ga 0.000 0.250 0.500 [12 per cell]
4 Sb 0.000 0.000 0.000 [2 per cell]



Material: ZnP2W
Method: DFT, PBE
State: optimized geometry

- Total DFT energy (no corrections): -0.44545 Ry per atom
- Formation energy from the elements: 0.201 eV per atom

Lattice parameters (Å, degrees): 5.610 5.610 10.489 90.00 90.00 90.00
Space group I-42d (No. 122)
Inequivalent atoms, fractional coordinates:
1 Zn 0.000 0.000 0.000 [4 per cell]
2 P 0.239 0.250 0.625 [8 per cell]
3 W 0.000 0.000 0.500 [4 per cell]



Material: SmScGa4
Method: DFT, PBE
State: optimized geometry

- Total DFT energy (no corrections): -0.31941 Ry per atom
- Formation energy from the elements: -0.486 eV per atom
- Polymorph energy (0 for the lowest one): 119 meV/atom

Lattice parameters (Å, degrees): 8.144 15.376 4.076 90.00 90.00 90.00
Space group Pbam (No. 55)
Inequivalent atoms, fractional coordinates:
1 Sm 0.128 0.144 0.000 [4 per cell]
2 Sc 0.130 0.417 0.000 [4 per cell]
3 Ga 0.001 0.702 0.500 [4 per cell]
4 Ga 0.117 0.555 0.500 [4 per cell]
5 Ga 0.131 0.969 0.500 [4 per cell]
6 Ga 0.200 0.814 0.500 [4 per cell]